First-principles (PBE-GGA) data for Er7Tl2Ru2 after structural relaxation, as listed in Alexandria.

Output
The magnetic moment is 0.0 Bohr magnetons per cell. The space group is No. 65. The energy is -5.254 eV/atom. Its crystal system is orthorhombic.

Geometry as CIF:
```
data_Er7Tl2Ru2
_cell_length_a 6.737
_cell_length_b 7.100
_cell_length_c 6.737
_cell_angle_alpha 90.00
_cell_angle_beta 106.91
_cell_angle_gamma 90.00
_space_group_name_H-M_alt 'P 1'
_space_group_IT_number 1
loop_
_space_group_symop_operation_xyz
'x,y,z'
loop_
_atom_site_label
_atom_site_type_symbol
_atom_site_fract_x
_atom_site_fract_y
_atom_site_fract_z
_atom_site_occupancy
Er1 Er 0.500 0.238 0.500 1
Er2 Er 0.500 0.762 0.500 1
Er3 Er 0.000 0.247 0.500 1
Ru1 Ru 0.293 0.000 0.707 1
Er4 Er 0.500 0.753 0.000 1
Er5 Er 0.500 0.247 0.000 1
Tl1 Tl 0.184 0.500 0.184 1
Er6 Er 0.000 0.753 0.500 1
Tl2 Tl 0.816 0.500 0.816 1
Ru2 Ru 0.707 0.000 0.293 1
Er7 Er 0.000 0.000 0.000 1
```

=====

First-principles (PBE-GGA) data for ErTmRu4 after structural relaxation, as listed in Alexandria.

Output
The magnetic moment is 0.0 Bohr magnetons per cell. The space group is No. 216. The energy is -8.031 eV/atom. Its crystal system is cubic.

Geometry as CIF:
```
data_ErTmRu4
_cell_length_a 5.305
_cell_length_b 5.305
_cell_length_c 5.305
_cell_angle_alpha 60.00
_cell_angle_beta 60.00
_cell_angle_gamma 60.00
_space_group_name_H-M_alt 'P 1'
_space_group_IT_number 1
loop_
_space_group_symop_operation_xyz
'x,y,z'
loop_
_atom_site_label
_atom_site_type_symbol
_atom_site_fract_x
_atom_site_fract_y
_atom_site_fract_z
_atom_site_occupancy
Ru1 Ru 0.125 0.625 0.625 1
Tm1 Tm 0.250 0.250 0.250 1
Ru2 Ru 0.625 0.625 0.125 1
Ru3 Ru 0.625 0.625 0.625 1
Ru4 Ru 0.625 0.125 0.625 1
Er1 Er 0.000 0.000 0.000 1
```

=====

First-principles (PBE-GGA) data for Er2TmRu2 after structural relaxation, as listed in Alexandria.

Output
The magnetic moment is 0.0 Bohr magnetons per cell. The space group is No. 14. The calculation puts the energy relative to the lowest polymorph listed for this composition at 0.023 eV per atom. Its crystal system is monoclinic.

Geometry as CIF:
```
data_Er2TmRu2
_cell_length_a 6.668
_cell_length_b 6.659
_cell_length_c 10.195
_cell_angle_alpha 90.00
_cell_angle_beta 89.88
_cell_angle_gamma 90.00
_space_group_name_H-M_alt 'P 1'
_space_group_IT_number 1
loop_
_space_group_symop_operation_xyz
'x,y,z'
loop_
_atom_site_label
_atom_site_type_symbol
_atom_site_fract_x
_atom_site_fract_y
_atom_site_fract_z
_atom_site_occupancy
Ru1 Ru 0.750 0.001 0.166 1
Er1 Er 0.470 0.750 0.999 1
Ru2 Ru 0.750 0.500 0.503 1
Ru3 Ru 0.750 0.501 0.834 1
Er2 Er 0.530 0.250 0.001 1
Er3 Er 0.019 0.767 0.333 1
Tm1 Tm 0.482 0.233 0.335 1
Tm2 Tm 0.518 0.767 0.665 1
Ru4 Ru 0.250 0.500 0.497 1
Tm3 Tm 0.018 0.733 0.665 1
Er4 Er 0.970 0.750 0.999 1
Ru5 Ru 0.750 0.000 0.497 1
Er5 Er 0.481 0.267 0.667 1
Er6 Er 0.519 0.733 0.333 1
Ru6 Ru 0.250 0.499 0.166 1
Er7 Er 0.030 0.250 0.001 1
Ru7 Ru 0.250 0.000 0.503 1
Tm4 Tm 0.982 0.267 0.335 1
Er8 Er 0.981 0.233 0.667 1
Ru8 Ru 0.250 0.999 0.834 1
```

=====

- What is the magnetic moment in the second record?
  0.0 Bohr magnetons per cell